## A
{"formula": "Cs3ErCl6", "functional": "PBE", "state": "optimized geometry", "space_group": "No. 14", "cell": [[8.086, 0.000, 0.000], [0.000, 8.476, 0.000], [-8.041, 0.000, 11.542]], "species": ["Cs", "Cs", "Cs", "Cs", "Cs", "Cs", "Er", "Er", "Cl", "Cl", "Cl", "Cl", "Cl", "Cl", "Cl", "Cl", "Cl", "Cl", "Cl", "Cl"], "fractional_positions": [[0.000, 0.000, 0.000], [0.000, 0.500, 0.500], [0.225, 0.062, 0.747], [0.225, 0.438, 0.247], [0.775, 0.562, 0.753], [0.775, 0.938, 0.253], [0.500, 0.000, 0.500], [0.500, 0.500, 0.000], [0.192, 0.173, 0.454], [0.192, 0.327, 0.954], [0.272, 0.744, 0.436], [0.272, 0.756, 0.936], [0.391, 0.044, 0.286], [0.391, 0.456, 0.786], [0.609, 0.544, 0.214], [0.609, 0.956, 0.714], [0.728, 0.244, 0.064], [0.728, 0.256, 0.564], [0.808, 0.673, 0.046], [0.808, 0.827, 0.546]]}

## B
{"formula": "Cs3ErCl6", "functional": "PBE", "state": "optimized geometry", "space_group": "No. 225", "cell": [[0.000, 5.904, 5.904], [5.904, 0.000, 5.904], [5.904, 5.904, 0.000]], "species": ["Cs", "Cs", "Cs", "Er", "Cl", "Cl", "Cl", "Cl", "Cl", "Cl"], "fractional_positions": [[0.000, 0.000, 0.000], [0.250, 0.250, 0.250], [0.750, 0.750, 0.750], [0.500, 0.500, 0.500], [0.278, 0.278, 0.722], [0.278, 0.722, 0.278], [0.278, 0.722, 0.722], [0.722, 0.278, 0.278], [0.722, 0.278, 0.722], [0.722, 0.722, 0.278]]}

## C
{"formula": "Cs3ErCl6", "functional": "PBE", "state": "optimized geometry", "space_group": "No. 15", "cell": [[13.516, -4.173, 0.000], [13.516, 4.173, 0.000], [-2.359, 0.000, 13.243]], "species": ["Cs", "Cs", "Cs", "Cs", "Cs", "Cs", "Cs", "Cs", "Cs", "Cs", "Cs", "Cs", "Er", "Er", "Er", "Er", "Cl", "Cl", "Cl", "Cl", "Cl", "Cl", "Cl", "Cl", "Cl", "Cl", "Cl", "Cl", "Cl", "Cl", "Cl", "Cl", "Cl", "Cl", "Cl", "Cl", "Cl", "Cl", "Cl", "Cl"], "fractional_positions": [[0.027, 0.644, 0.195], [0.163, 0.532, 0.854], [0.182, 0.715, 0.560], [0.285, 0.818, 0.940], [0.356, 0.973, 0.305], [0.468, 0.837, 0.646], [0.532, 0.163, 0.354], [0.644, 0.027, 0.695], [0.715, 0.182, 0.060], [0.818, 0.285, 0.440], [0.837, 0.468, 0.146], [0.973, 0.356, 0.805], [0.000, 0.500, 0.500], [0.212, 0.788, 0.250], [0.500, 0.000, 0.000], [0.788, 0.212, 0.750], [0.038, 0.077, 0.197], [0.077, 0.038, 0.697], [0.131, 0.369, 0.321], [0.147, 0.220, 0.536], [0.157, 0.731, 0.070], [0.220, 0.147, 0.036], [0.262, 0.392, 0.576], [0.269, 0.843, 0.430], [0.369, 0.131, 0.821], [0.373, 0.514, 0.317], [0.392, 0.262, 0.076], [0.486, 0.627, 0.183], [0.514, 0.373, 0.817], [0.608, 0.738, 0.924], [0.627, 0.486, 0.683], [0.631, 0.869, 0.179], [0.731, 0.157, 0.570], [0.738, 0.608, 0.424], [0.780, 0.853, 0.964], [0.843, 0.269, 0.930], [0.853, 0.780, 0.464], [0.869, 0.631, 0.679], [0.923, 0.962, 0.303], [0.962, 0.923, 0.803]]}

Which one sits at the bottom of the stability order? B does.

## A
{"formula": "Cs2ClF", "functional": "PBE", "state": "optimized geometry", "space_group": "No. 123", "cell": [[3.907, 0.000, 0.000], [0.000, 3.907, 0.000], [0.000, 0.000, 8.092]], "species": ["Cs", "Cs", "Cl", "F"], "fractional_positions": [[0.000, 0.000, 0.224], [0.000, 0.000, 0.776], [0.500, 0.500, 0.500], [0.500, 0.500, 0.000]]}

## B
{"formula": "Cs2ClF", "functional": "PBE", "state": "optimized geometry", "space_group": "No. 225", "cell": [[0.000, 4.000, 4.000], [4.000, 0.000, 4.000], [4.000, 4.000, 0.000]], "species": ["Cs", "Cs", "Cl", "F"], "fractional_positions": [[0.250, 0.250, 0.250], [0.750, 0.750, 0.750], [0.000, 0.000, 0.000], [0.500, 0.500, 0.500]]}

## C
{"formula": "Cs2ClF", "functional": "PBE", "state": "optimized geometry", "space_group": "No. 166", "cell": [[2.297, 1.326, 7.777], [-2.297, 1.326, 7.777], [0.000, -2.652, 7.777]], "species": ["Cs", "Cs", "Cl", "F"], "fractional_positions": [[0.238, 0.238, 0.238], [0.762, 0.762, 0.762], [0.000, 0.000, 0.000], [0.500, 0.500, 0.500]]}

## D
{"formula": "Cs2ClF", "functional": "PBE", "state": "optimized geometry", "space_group": "No. 160", "cell": [[2.258, 1.304, 7.984], [-2.258, 1.304, 7.984], [0.000, -2.607, 7.984]], "species": ["Cs", "Cs", "Cl", "F"], "fractional_positions": [[0.000, 0.000, 0.000], [0.191, 0.191, 0.191], [0.429, 0.429, 0.429], [0.596, 0.596, 0.596]]}

Which one sits at the bottom of the stability order? B does.

## A
{"formula": "CsCl3F", "functional": "PBE", "state": "optimized geometry", "space_group": "No. 221", "cell": [[4.952, 0.000, 0.000], [0.000, 4.952, 0.000], [0.000, 0.000, 4.952]], "species": ["Cs", "Cl", "Cl", "Cl", "F"], "fractional_positions": [[0.000, 0.000, 0.000], [0.000, 0.500, 0.500], [0.500, 0.000, 0.500], [0.500, 0.500, 0.000], [0.500, 0.500, 0.500]]}

## B
{"formula": "CsCl3F", "functional": "PBE", "state": "optimized geometry", "space_group": "No. 139", "cell": [[-3.667, 3.667, 5.432], [3.667, -3.667, 5.432], [3.667, 3.667, -5.432]], "species": ["Cs", "Cs", "Cl", "Cl", "Cl", "Cl", "Cl", "Cl", "F", "F"], "fractional_positions": [[0.250, 0.750, 0.500], [0.750, 0.250, 0.500], [0.190, 0.190, 0.000], [0.287, 0.287, 0.573], [0.287, 0.713, 0.000], [0.713, 0.287, 0.000], [0.713, 0.713, 0.427], [0.810, 0.810, 0.000], [0.000, 0.000, 0.000], [0.500, 0.500, 0.000]]}

Which one sits at the bottom of the stability order? A does.

## A
{"formula": "CsClF3", "functional": "PBE", "state": "optimized geometry", "space_group": "No. 139", "cell": [[-3.377, 3.377, 4.799], [3.377, -3.377, 4.799], [3.377, 3.377, -4.799]], "species": ["Cs", "Cs", "Cl", "Cl", "F", "F", "F", "F", "F", "F"], "fractional_positions": [[0.250, 0.750, 0.500], [0.750, 0.250, 0.500], [0.000, 0.000, 0.000], [0.500, 0.500, 0.000], [0.197, 0.197, 0.000], [0.307, 0.307, 0.614], [0.307, 0.693, 0.000], [0.693, 0.307, 0.000], [0.693, 0.693, 0.386], [0.803, 0.803, 0.000]]}

## B
{"formula": "CsClF3", "functional": "PBE", "state": "optimized geometry", "space_group": "No. 221", "cell": [[4.522, 0.000, 0.000], [0.000, 4.522, 0.000], [0.000, 0.000, 4.522]], "species": ["Cs", "Cl", "F", "F", "F"], "fractional_positions": [[0.000, 0.000, 0.000], [0.500, 0.500, 0.500], [0.000, 0.500, 0.500], [0.500, 0.000, 0.500], [0.500, 0.500, 0.000]]}

Which one sits at the bottom of the stability order? B does.